(1)
The following is a DFT calculation (GGA-PBE) of SmTh2CrN4 after structural relaxation.

Computed properties:
- Density: 9.54 Mg/m³
- Energy relative to the elements, uncorrected: -1.134 eV per atom
- Space group: No. 63

a b c (Å): 3.481 6.195 12.148
angles (deg): 90.00 90.00 106.32
Each line ends with the local moment (μB).
Sites, in units of the cell vectors:
Sm 0.106 0.212 0.750  0.05
Sm 0.894 0.788 0.250  0.05
Th 0.367 0.735 0.551  0.15
Th 0.633 0.265 0.051  0.15
Th 0.633 0.265 0.449  0.15
Th 0.367 0.735 0.949  0.15
Cr 0.838 0.676 0.750  2.32
Cr 0.162 0.324 0.250  2.32
N 0.274 0.549 0.131  0.01
N 0.726 0.451 0.631  0.01
N 0.726 0.451 0.869  0.01
N 0.274 0.549 0.369  0.01
N 0.000 0.000 0.500  0.03
N 0.000 0.000 0.000  0.03
N 0.437 0.873 0.750  -0.05
N 0.563 0.127 0.250  -0.05



(2)
The following is a DFT calculation (GGA-PBE) of Sm2CrWN5 after structural relaxation.

Computed properties:
- Density: 8.95 Mg/m³
- Energy relative to the elements, uncorrected: -0.907 eV per atom
- Space group: No. 36

a b c (Å): 3.254 7.129 9.960
angles (deg): 90.00 90.00 103.19
Sites, in units of the cell vectors:
Sm 0.866 0.732 0.812
Sm 0.119 0.238 0.688
Sm 0.134 0.268 0.312
Sm 0.881 0.762 0.188
Cr 0.551 0.101 0.951
Cr 0.449 0.899 0.451
W 0.795 0.590 0.515
W 0.205 0.410 0.015
N 0.343 0.685 0.004
N 0.682 0.363 0.874
N 0.500 0.001 0.791
N 0.296 0.591 0.654
N 0.956 0.912 0.535
N 0.657 0.315 0.504
N 0.318 0.637 0.374
N 0.500 0.999 0.291
N 0.704 0.409 0.154
N 0.044 0.088 0.035



| no. | magnetic moment (μB/cell) |
| --- | --- |
| 1 | 6.3 |
| 2 | 0.0 |